1.
Here is a geometry-optimized Re3Rh5 structure from Alexandria. Energies are from PBE-GGA.

Lattice parameters (Å, degrees): 3.2737 3.2737 11.0371 90.00 90.00 90.00
Fractional positions:
1 Re 0.0000 0.0000 0.0000
2 Re 0.0000 0.0000 0.2582
3 Re 0.5000 0.5000 0.8840
4 Rh 0.0000 0.0000 0.5079
5 Rh 0.0000 0.0000 0.7536
6 Rh 0.5000 0.5000 0.1358
7 Rh 0.5000 0.5000 0.3745
8 Rh 0.5000 0.5000 0.6289

Properties
The value obtained for the distance to the lowest polymorph of the same formula is 379 meV per atom. As for the density of states at the Fermi level: 1.184 states/eV per atom. Its space group is No. 99.

=====

2.
Here is a geometry-optimized Re3Rh2 structure from Alexandria. Energies are from PBE-GGA.

Lattice parameters (Å, degrees): 6.9103 6.9103 2.6984 90.00 90.00 145.17
Fractional positions:
1 Re 0.0000 0.0000 0.0000
2 Re 0.3945 0.6055 0.5000
3 Re 0.6055 0.3945 0.5000
4 Rh 0.1958 0.8042 0.0000
5 Rh 0.8042 0.1958 0.0000

Properties
The value obtained for the distance to the lowest polymorph of the same formula is 91 meV per atom. As for the density of states at the Fermi level: 0.855 states/eV per atom. Its space group is No. 65.

=====

3.
Here is a geometry-optimized ReRh2 structure from Alexandria. Energies are from PBE-GGA.

Lattice parameters (Å, degrees): 2.7141 2.7141 11.7213 90.00 90.00 90.00
Fractional positions:
1 Re 0.0000 0.0000 0.1685
2 Re 0.0000 0.0000 0.8315
3 Rh 0.0000 0.0000 0.5000
4 Rh 0.5000 0.5000 0.0000
5 Rh 0.5000 0.5000 0.3302
6 Rh 0.5000 0.5000 0.6698

Properties
The value obtained for the distance to the lowest polymorph of the same formula is 113 meV per atom. As for the density of states at the Fermi level: 1.462 states/eV per atom. Its space group is No. 123.

=====

4.
Here is a geometry-optimized Re3Rh structure from Alexandria. Energies are from PBE-GGA.

Lattice parameters (Å, degrees): 4.4010 5.5702 4.8017 90.00 90.00 90.00
Fractional positions:
1 Re 0.2500 0.0033 0.1660
2 Re 0.2500 0.4967 0.1660
3 Re 0.2500 0.7500 0.6790
4 Re 0.7500 0.2500 0.3210
5 Re 0.7500 0.5033 0.8340
6 Re 0.7500 0.9967 0.8340
7 Rh 0.2500 0.2500 0.6668
8 Rh 0.7500 0.7500 0.3332

Properties
The raw total energy is -11.308 eV per atom. As for the density of states at the Fermi level: 0.770 states/eV per atom. Its space group is No. 59.

=====

5.
Here is a geometry-optimized Re3Rh5 structure from Alexandria. Energies are from PBE-GGA.

Lattice parameters (Å, degrees): 4.7486 4.3640 5.5381 90.00 90.20 90.00
Fractional positions:
1 Re 0.0000 0.0000 0.0000
2 Re 0.1526 0.5000 0.7488
3 Re 0.4984 0.0000 0.2500
4 Rh 0.1634 0.5000 0.2490
5 Rh 0.4935 0.0000 0.7487
6 Rh 0.6536 0.5000 0.9984
7 Rh 0.6558 0.5000 0.5008
8 Rh 0.9955 0.0000 0.4962

Properties
The value obtained for the distance to the lowest polymorph of the same formula is 14 meV per atom. As for the density of states at the Fermi level: 0.968 states/eV per atom. Its space group is No. 6.

=====

6.
Here is a geometry-optimized Re4Rh structure from Alexandria. Energies are from PBE-GGA.

Lattice parameters (Å, degrees): 7.4560 4.7447 4.4621 90.00 107.34 90.00
Fractional positions:
1 Re 0.1126 0.2104 0.0563
2 Re 0.1126 0.7896 0.5563
3 Re 0.3050 0.3258 0.6528
4 Re 0.3050 0.6742 0.1528
5 Re 0.6950 0.3258 0.8472
6 Re 0.6950 0.6742 0.3472
7 Re 0.8874 0.2104 0.4437
8 Re 0.8874 0.7896 0.9437
9 Rh 0.5000 0.1677 0.2500
10 Rh 0.5000 0.8323 0.7500

Properties
The value obtained for the distance to the lowest polymorph of the same formula is 83 meV per atom. As for the density of states at the Fermi level: 0.724 states/eV per atom. Its space group is No. 13.